Record 1
# K2Li

A relaxed structure of K2Li (PBE, Alexandria via LeMat-Bulk).

Cell: 6.685 6.685 8.320 Å, 90.00 90.00 120.00°
Element x y z (fractional)
K 0.000 0.000 0.000
K 0.000 0.000 0.500
K 0.333 0.667 0.750
K 0.667 0.333 0.250
Li 0.333 0.667 0.250
Li 0.667 0.333 0.750

For the electronic total energy, the calculation gives -1.24 eV per atom. As for the relative energy among the computed polymorphs: 0.036 eV per atom. As for the crystal system: hexagonal. Its formation energy is 12.9 kJ per mole of atoms.

***

Record 2
# FeTe2PI

A relaxed structure of FeTe2PI (PBE, Alexandria via LeMat-Bulk).

Cell: 4.911 4.911 5.277 Å, 90.00 90.00 90.00°
Element x y z (fractional)
I 0.000 0.000 0.500
P 0.500 0.500 0.500
Te 0.000 0.500 0.000
Te 0.500 0.000 0.000
Fe 0.000 0.000 0.000

For the electronic total energy, the calculation gives -3.53 eV per atom. As for the relative energy among the computed polymorphs: 0.000 eV per atom. As for the crystal system: tetragonal. The formation energy from raw total energies is 815.6 meV/atom.

***

Record 3
# PaICl

A relaxed structure of PaICl (PBE, Alexandria via LeMat-Bulk).

Cell: 3.611 3.611 7.713 Å, 103.54 103.54 90.00°
Element x y z (fractional)
I 0.041 0.041 0.081
Pa 0.676 0.676 0.352
Cl 0.283 0.283 0.567

For the electronic total energy, the calculation gives -5.21 eV per atom. As for the relative energy among the computed polymorphs: 0.229 eV per atom. As for the crystal system: tetragonal. The formation energy from raw total energies is -917.3 meV/atom.